DFT (PBEsol) results for an optimized crystal structure of KSc2F7.

a b c (Å): 6.2115 6.2115 4.0366
angles (deg): 90.00 90.00 116.93
Atoms (fractional coordinates):
K  0.0000  0.0000  0.0000
Sc  0.3064  0.6936  0.5000
Sc  0.6936  0.3064  0.5000
F  0.0450  0.3330  0.5000
F  0.2974  0.7026  0.0000
F  0.3330  0.0450  0.5000
F  0.5000  0.5000  0.5000
F  0.6670  0.9550  0.5000
F  0.7026  0.2974  0.0000
F  0.9550  0.6670  0.5000

Properties
The value obtained for the formation energy from raw total energies is -3652.8 kJ/mol of formula units. Its volume is 13.886 Å³ per atom. Its space group is Cmmm, No. 65. As for the mass density: 3.13 g/cm³.